The following is a PBE calculation of a geometry-optimized HfTa2Te structure, from OQMD via LeMat-Bulk.

E   -35.76 eV/cell

Cell lengths 4.8284, 4.8284, 4.8284 Å; angles 60.00, 60.00, 60.00 degrees
Fractional coordinates of all 4 atoms:
Hf: 0.2500 0.2500 0.2500
Ta: 0.0000 0.0000 0.0000
Ta: 0.7500 0.7500 0.7500
Te: 0.5000 0.5000 0.5000